No. 1
RbYTc2F GGA-PBE relaxed; SG = No. 123; magnetic moment = 4.54 Bohr magnetons per cell; energy relative to the elements, uncorrected = 32.590 kcal/mol of atoms
1.0
5.094 0.000 0.000
0.000 5.094 0.000
0.000 0.000 4.649
Rb Y Tc F
1 1 2 1
Cartesian
0.000 0.000 0.000 Rb
2.547 2.547 2.325 Y
0.000 2.547 0.000 Tc
2.547 0.000 0.000 Tc
0.000 0.000 2.325 F

=====

No. 2
CeNdEr14 GGA-PBE relaxed; SG = No. 38; magnetic moment = 0.59 Bohr magnetons per cell; formation enthalpy at 0 K = 104 kJ/mol of formula units
1.0
11.047 0.000 0.000
0.000 4.019 5.588
0.000 -4.019 5.588
Ce Nd Er
1 1 14
Cartesian
0.000 0.000 0.000 Ce
0.000 0.000 6.274 Nd
0.000 -1.663 3.167 Er
0.000 1.663 3.167 Er
2.615 0.000 8.545 Er
2.775 -1.702 5.441 Er
2.775 1.702 5.441 Er
2.957 0.000 2.355 Er
5.524 0.000 4.680 Er
5.524 -1.656 7.779 Er
5.524 1.656 7.779 Er
5.524 0.000 10.828 Er
8.090 0.000 2.355 Er
8.272 -1.702 5.441 Er
8.272 1.702 5.441 Er
8.432 0.000 8.545 Er

=====

No. 3
Mg2ZrH GGA-PBE relaxed; SG = No. 225; energy above the lowest structure with this stoichiometry = 653 meV per atom; magnetic moment = 0.00 Bohr magnetons per cell
1.0
0.000 3.412 3.412
3.412 0.000 3.412
3.412 3.412 0.000
Mg Zr H
2 1 1
Cartesian
1.706 1.706 1.706 Mg
5.118 5.118 5.118 Mg
0.000 0.000 0.000 Zr
3.412 3.412 3.412 H

=====

No. 4
MgMoSCl2 GGA-PBE relaxed; SG = No. 123; energy above the lowest structure with this stoichiometry = 0 meV per atom; magnetic moment = 1.52 Bohr magnetons per cell; energy relative to the elements, uncorrected = -6.181 kcal/mol of atoms
1.0
4.949 0.000 0.000
0.000 4.949 0.000
0.000 0.000 4.659
Mg Mo S Cl
1 1 1 2
Cartesian
0.000 0.000 0.000 Mg
2.475 2.475 2.329 Mo
2.475 2.475 0.000 S
0.000 2.475 2.329 Cl
2.475 0.000 2.329 Cl

=====

No. 5
ReSb2PI GGA-PBE relaxed; SG = No. 123; energy above the lowest structure with this stoichiometry = 0 meV per atom; magnetic moment = 0.82 Bohr magnetons per cell; energy relative to the elements, uncorrected = 24.678 kcal/mol of atoms
1.0
5.078 0.000 0.000
0.000 5.078 0.000
0.000 0.000 5.645
Re Sb P I
1 2 1 1
Cartesian
0.000 0.000 0.000 Re
0.000 2.539 0.000 Sb
2.539 0.000 0.000 Sb
2.539 2.539 2.822 P
0.000 0.000 2.822 I

=====

No. 6
Tb3P GGA-PBE relaxed; SG = No. 44; magnetic moment = 0.00 Bohr magnetons per cell; formation enthalpy at 0 K = -229 kJ/mol of formula units
1.0
-1.862 4.702 3.137
1.862 -4.702 3.137
1.862 4.702 -3.137
Tb P
3 1
Cartesian
0.000 0.000 0.000 Tb
1.862 2.912 0.232 Tb
0.000 1.790 3.370 Tb
1.862 0.000 2.019 P

=====

Here are the calculated N(E_F) numbers, same order: 4.790 28.673 4.298 3.623 4.346 2.868 (states/eV per cell).